Entry 1:
First-principles (GGA-PBE) data for a geometry-optimized DyYCoIr structure, as listed in Alexandria.

Cell lengths 4.806, 4.806, 4.806 Å; angles 60.00, 60.00, 60.00 degrees
Element x y z (fractional)
Dy  0.000  0.000  0.000
Y  0.500  0.500  0.500
Co  0.250  0.250  0.250
Ir  0.750  0.750  0.750

Results
The electronic total energy is -0.267 hartree per atom. The calculation puts the formation energy at -498 meV per atom.

Entry 2:
First-principles (GGA-PBE) data for a geometry-optimized DyZrCoIr structure, as listed in Alexandria.

Cell lengths 4.710, 4.710, 4.710 Å; angles 60.00, 60.00, 60.00 degrees
Element x y z (fractional)
Dy  0.000  0.000  0.000
Zr  0.500  0.500  0.500
Co  0.250  0.250  0.250
Ir  0.750  0.750  0.750

Results
The electronic total energy is -0.286 hartree per atom. The calculation puts the formation energy at -501 meV per atom.